Computed, not measured: a geometry-optimized ZrScZn structure at the PBE-GGA level of DFT.

The total magnetization is 0.0 μB per cell. For the total energy, the calculation gives -5.579 eV per atom. The offset from the most stable computed form is 2.4 kJ per mole of atoms. The calculation puts the energy of formation at -195 meV per atom.

The structure belongs to space group Cmcm (No. 63); the cell edges are 3.2221, 17.3187 and 4.4302 Å and the angles 90.00°, 90.00° and 90.00°. Symmetry generates all atoms from Zr at (0.0000, 0.2105, 0.2500), Sc at (0.0000, 0.3959, 0.2500) and Zn at (0.0000, 0.0412, 0.2500).